DFT (PBE-GGA) results for a geometry-optimized FeHRh3 structure.

Summary:
The energy relative to the lowest polymorph listed for this composition is 0.3795 eV/atom. The value obtained for the total magnetization is 0.6346 μB per atom. As for the mass density: 9.72 g/cm³.

Geometry as CIF:
```
data_FeHRh3
_symmetry_space_group_name_H-M 'I -4 m 2'
_symmetry_Int_Tables_number 119
_symmetry_space_group_name_Hall 'I -4 -2'
_cell_length_a 5.1154
_cell_length_b 5.1154
_cell_length_c 9.5510
_cell_angle_alpha 90.00
_cell_angle_beta 90.00
_cell_angle_gamma 90.00
loop_
_atom_site_label
_atom_site_type_symbol
_atom_site_fract_x
_atom_site_fract_y
_atom_site_fract_z
_atom_site_occupancy
Fe1 Fe 0.0000 0.0000 0.1315 1
H1 H 0.0000 0.0000 0.5000 1
H2 H 0.0000 0.5000 0.2500 1
Rh1 Rh 0.0000 0.2484 0.3710 1
Rh2 Rh 0.0000 0.5000 0.6188 1
```

DFT (PBE-GGA) results for a geometry-optimized FeHRh3 structure.

Summary:
The energy relative to the lowest polymorph listed for this composition is 0.0243 eV/atom. The value obtained for the total magnetization is 0.7689 μB per atom. As for the mass density: 10.47 g/cm³.

Geometry as CIF:
```
data_FeHRh3
_symmetry_space_group_name_H-M 'C m m m'
_symmetry_Int_Tables_number 65
_symmetry_space_group_name_Hall '-C 2 2'
_cell_length_a 5.4957
_cell_length_b 10.9724
_cell_length_c 3.8457
_cell_angle_alpha 90.00
_cell_angle_beta 90.00
_cell_angle_gamma 90.00
loop_
_atom_site_label
_atom_site_type_symbol
_atom_site_fract_x
_atom_site_fract_y
_atom_site_fract_z
_atom_site_occupancy
Fe1 Fe 0.0000 0.1251 0.0000 1
H1 H 0.0000 0.3796 0.5000 1
Rh1 Rh 0.0000 0.3704 0.0000 1
Rh2 Rh 0.2385 0.0000 0.5000 1
Rh3 Rh 0.2500 0.2500 0.5000 1
```

DFT (PBE-GGA) results for a geometry-optimized FeHRh3 structure.

Summary:
The energy relative to the lowest polymorph listed for this composition is 0.1805 eV/atom. The value obtained for the total magnetization is 0.0000 μB per atom. As for the mass density: 10.89 g/cm³.

Geometry as CIF:
```
data_FeHRh3
_symmetry_space_group_name_H-M 'P 1 21/c 1'
_symmetry_Int_Tables_number 14
_symmetry_space_group_name_Hall '-P 2ybc'
_cell_length_a 7.1638
_cell_length_b 4.3610
_cell_length_c 9.3469
_cell_angle_alpha 90.00
_cell_angle_beta 130.22
_cell_angle_gamma 90.00
loop_
_atom_site_label
_atom_site_type_symbol
_atom_site_fract_x
_atom_site_fract_y
_atom_site_fract_z
_atom_site_occupancy
Fe1 Fe 0.1109 0.2443 0.0156 1
H1 H 0.3609 0.0362 0.5656 1
Rh1 Rh 0.1136 0.7449 0.3538 1
Rh2 Rh 0.3570 0.7466 0.7190 1
Rh3 Rh 0.3680 0.2445 0.8942 1
```

DFT (PBE-GGA) results for a geometry-optimized FeHRh3 structure.

Summary:
The energy relative to the lowest polymorph listed for this composition is 0.2507 eV/atom. The value obtained for the total magnetization is 0.0000 μB per atom. As for the mass density: 10.59 g/cm³.

Geometry as CIF:
```
data_FeHRh3
_symmetry_space_group_name_H-M 'P 1 21/c 1'
_symmetry_Int_Tables_number 14
_symmetry_space_group_name_Hall '-P 2ybc'
_cell_length_a 7.3240
_cell_length_b 4.7231
_cell_length_c 7.1350
_cell_angle_alpha 90.00
_cell_angle_beta 111.74
_cell_angle_gamma 90.00
loop_
_atom_site_label
_atom_site_type_symbol
_atom_site_fract_x
_atom_site_fract_y
_atom_site_fract_z
_atom_site_occupancy
Fe1 Fe 0.1216 0.1223 0.0859 1
H1 H 0.3767 0.6830 0.3556 1
Rh1 Rh 0.1096 0.6008 0.2219 1
Rh2 Rh 0.3001 0.0663 0.4499 1
Rh3 Rh 0.4457 0.5830 0.6528 1
```

DFT (PBE-GGA) results for a geometry-optimized FeHRh3 structure.

Summary:
The energy relative to the lowest polymorph listed for this composition is 0.1750 eV/atom. The value obtained for the total magnetization is 0.0000 μB per atom. As for the mass density: 10.87 g/cm³.

Geometry as CIF:
```
data_FeHRh3
_symmetry_space_group_name_H-M 'C 1 2/c 1'
_symmetry_Int_Tables_number 15
_symmetry_space_group_name_Hall '-C 2yc'
_cell_length_a 8.8447
_cell_length_b 10.7986
_cell_length_c 4.6784
_cell_angle_alpha 90.00
_cell_angle_beta 91.94
_cell_angle_gamma 90.00
loop_
_atom_site_label
_atom_site_type_symbol
_atom_site_fract_x
_atom_site_fract_y
_atom_site_fract_z
_atom_site_occupancy
Fe1 Fe 0.1117 0.0567 0.0885 1
H1 H 0.0000 0.3203 0.7500 1
H2 H 0.0000 0.4363 0.2500 1
Rh1 Rh 0.1182 0.1761 0.5780 1
Rh2 Rh 0.1301 0.3067 0.0871 1
Rh3 Rh 0.1423 0.4385 0.5915 1
```

DFT (PBE-GGA) results for a geometry-optimized FeHRh3 structure.

Summary:
The energy relative to the lowest polymorph listed for this composition is 0.1413 eV/atom. The value obtained for the total magnetization is 0.0000 μB per atom. As for the mass density: 10.95 g/cm³.

Geometry as CIF:
```
data_FeHRh3
_symmetry_space_group_name_H-M 'P 1'
_symmetry_Int_Tables_number 1
_symmetry_space_group_name_Hall 'P 1'
_cell_length_a 4.6614
_cell_length_b 4.6824
_cell_length_c 5.3805
_cell_angle_alpha 90.12
_cell_angle_beta 106.59
_cell_angle_gamma 99.47
loop_
_atom_site_label
_atom_site_type_symbol
_atom_site_fract_x
_atom_site_fract_y
_atom_site_fract_z
_atom_site_occupancy
Fe1 Fe 0.0000 0.0000 0.0000 1
Fe2 Fe 0.4913 0.7459 0.6279 1
H1 H 0.7413 0.0843 0.7087 1
H2 H 0.7767 0.1296 0.1760 1
Rh1 Rh 0.0000 0.5216 0.7552 1
Rh2 Rh 0.0076 0.5199 0.2536 1
Rh3 Rh 0.4877 0.2629 0.3763 1
Rh4 Rh 0.4890 0.2591 0.8728 1
Rh5 Rh 0.4914 0.7599 0.1218 1
Rh6 Rh 0.9979 0.0006 0.5060 1
```

DFT (PBE-GGA) results for a geometry-optimized FeHRh3 structure.

Summary:
The energy relative to the lowest polymorph listed for this composition is 0.0498 eV/atom. The value obtained for the total magnetization is 0.7113 μB per atom. As for the mass density: 10.55 g/cm³.

Geometry as CIF:
```
data_FeHRh3
_symmetry_space_group_name_H-M 'P -1'
_symmetry_Int_Tables_number 2
_symmetry_space_group_name_Hall '-P 1'
_cell_length_a 4.7257
_cell_length_b 4.7440
_cell_length_c 5.4555
_cell_angle_alpha 90.36
_cell_angle_beta 90.31
_cell_angle_gamma 109.80
loop_
_atom_site_label
_atom_site_type_symbol
_atom_site_fract_x
_atom_site_fract_y
_atom_site_fract_z
_atom_site_occupancy
Fe1 Fe 0.9999 0.2383 0.1360 1
H1 H 0.2534 0.5029 0.8703 1
Rh1 Rh 0.0015 0.7517 0.3668 1
Rh2 Rh 0.4960 0.2438 0.3801 1
Rh3 Rh 0.4962 0.7535 0.1251 1
```

DFT (PBE-GGA) results for a geometry-optimized Fe3H4Rh2 structure.

Summary:
The value obtained for the total magnetization is 0.9721 μB per atom. As for the mass density: 8.07 g/cm³. The value obtained for the electronic total energy is -210.09 eV/cell.

Geometry as CIF:
```
data_Fe3H4Rh2
_symmetry_space_group_name_H-M 'C 1 2/c 1'
_symmetry_Int_Tables_number 15
_symmetry_space_group_name_Hall '-C 2yc'
_cell_length_a 7.2506
_cell_length_b 8.5383
_cell_length_c 5.0184
_cell_angle_alpha 90.00
_cell_angle_beta 91.56
_cell_angle_gamma 90.00
loop_
_atom_site_label
_atom_site_type_symbol
_atom_site_fract_x
_atom_site_fract_y
_atom_site_fract_z
_atom_site_occupancy
Fe1 Fe 0.0000 0.1140 0.2500 1
Fe2 Fe 0.1237 0.3026 0.6006 1
H1 H 0.1020 0.2112 0.9400 1
H2 H 0.1850 0.0746 0.5518 1
Rh1 Rh 0.1881 0.4073 0.1024 1
```

DFT (PBE-GGA) results for a geometry-optimized FeHRh3 structure.

Summary:
The energy relative to the lowest polymorph listed for this composition is 0.2911 eV/atom. The value obtained for the total magnetization is 0.8366 μB per atom. As for the mass density: 9.86 g/cm³.

Geometry as CIF:
```
data_FeHRh3
_symmetry_space_group_name_H-M 'C m c m'
_symmetry_Int_Tables_number 63
_symmetry_space_group_name_Hall '-C 2c 2'
_cell_length_a 6.2684
_cell_length_b 7.6275
_cell_length_c 5.1490
_cell_angle_alpha 90.00
_cell_angle_beta 90.00
_cell_angle_gamma 90.00
loop_
_atom_site_label
_atom_site_type_symbol
_atom_site_fract_x
_atom_site_fract_y
_atom_site_fract_z
_atom_site_occupancy
Fe1 Fe 0.0000 0.0597 0.2500 1
H1 H 0.0000 0.3204 0.2500 1
Rh1 Rh 0.0000 0.5000 0.0000 1
Rh2 Rh 0.2065 0.2190 0.7500 1
```